# ThRhBr

A geometry-optimized ThRhBr structure (GGA-PBE, Alexandria).

a b c (Å): 4.090 8.160 11.371
angles (deg): 94.02 100.36 90.00
Element x y z (fractional)
Th: 0.666 0.116 0.333
Th: 0.334 0.884 0.667
Th: 0.337 0.400 0.675
Th: 0.663 0.600 0.325
Rh: 0.247 0.624 0.493
Rh: 0.753 0.376 0.507
Rh: 0.749 0.874 0.498
Rh: 0.251 0.126 0.502
Br: 0.910 0.656 0.819
Br: 0.568 0.842 0.135
Br: 0.432 0.158 0.865
Br: 0.090 0.344 0.181

Summary:
SG	C2/m
E_form (uncorrected)	-1.04	eV per atom
total energy	-6.522	eV/atom



# AcPmDySc

A geometry-optimized AcPmDySc structure (GGA-PBE, Alexandria).

a b c (Å): 5.747 5.747 5.747
angles (deg): 60.00 60.00 60.00
Element x y z (fractional)
Ac: 0.750 0.750 0.750
Sc: 0.000 0.000 0.000
Pm: 0.250 0.250 0.250
Dy: 0.500 0.500 0.500

Summary:
SG	F-43m
total energy	-4.832	eV/atom
energy of formation	116	meV per atom



# Sm6Er5Pu

A geometry-optimized Sm6Er5Pu structure (GGA-PBE, Alexandria).

a b c (Å): 6.179 6.179 11.707
angles (deg): 84.95 79.86 60.00
Each line ends with the local moment (μB).
Element x y z (fractional)
Er: 0.333 0.333 0.000  -0.17
Er: 0.667 0.667 0.000  -0.17
Er: 0.833 0.334 0.500  0.06
Er: 0.167 0.666 0.500  0.06
Er: 0.500 0.000 0.500  0.06
Sm: 0.083 0.330 0.751  -0.03
Sm: 0.753 0.000 0.752  -0.03
Sm: 0.917 0.670 0.249  -0.03
Sm: 0.247 0.000 0.248  -0.03
Sm: 0.413 0.670 0.751  -0.03
Sm: 0.587 0.330 0.249  -0.03
Pu: 0.000 0.000 0.000  -5.60

Summary:
SG	C2/m
total energy	-5.411	eV/atom
energy of formation	44	meV per atom



# In3Ga12Ge5

A geometry-optimized In3Ga12Ge5 structure (GGA-PBE, Alexandria).

a b c (Å): 13.495 13.495 13.495
angles (deg): 109.47 109.47 109.47
Element x y z (fractional)
Ga: 0.925 0.097 0.874
Ga: 0.097 0.925 0.374
Ga: 0.724 0.126 0.052
Ga: 0.597 0.874 0.425
Ga: 0.828 0.925 0.052
Ga: 0.172 0.075 0.948
Ga: 0.626 0.052 0.224
Ga: 0.075 0.903 0.126
Ga: 0.925 0.828 0.552
Ga: 0.448 0.672 0.075
Ga: 0.425 0.052 0.328
Ga: 0.328 0.776 0.403
Ga: 0.052 0.425 0.828
Ga: 0.626 0.575 0.903
Ga: 0.672 0.448 0.575
Ga: 0.126 0.403 0.075
Ga: 0.776 0.448 0.374
Ga: 0.276 0.403 0.828
Ga: 0.874 0.276 0.448
Ga: 0.075 0.172 0.448
Ga: 0.672 0.224 0.597
Ga: 0.948 0.575 0.172
Ga: 0.126 0.724 0.552
Ga: 0.425 0.374 0.597
Ga: 0.374 0.948 0.776
Ga: 0.575 0.948 0.672
Ga: 0.403 0.126 0.575
Ga: 0.172 0.097 0.724
Ga: 0.403 0.276 0.328
Ga: 0.724 0.597 0.172
Ga: 0.448 0.776 0.874
Ga: 0.552 0.328 0.925
Ga: 0.776 0.328 0.903
Ga: 0.224 0.552 0.626
Ga: 0.948 0.374 0.276
Ga: 0.328 0.552 0.425
Ga: 0.052 0.626 0.724
Ga: 0.903 0.828 0.776
Ga: 0.374 0.425 0.097
Ga: 0.597 0.724 0.672
Ga: 0.224 0.672 0.097
Ga: 0.575 0.626 0.403
Ga: 0.552 0.224 0.126
Ga: 0.903 0.075 0.626
Ga: 0.276 0.874 0.948
Ga: 0.874 0.597 0.925
Ga: 0.097 0.172 0.224
Ga: 0.828 0.903 0.276
Ge: 0.000 0.000 0.000
Ge: 0.125 0.375 0.250
Ge: 0.250 0.375 0.625
Ge: 0.000 0.500 0.500
Ge: 0.625 0.750 0.875
Ge: 0.250 0.875 0.125
Ge: 0.500 0.500 0.000
Ge: 0.500 0.000 0.000
Ge: 0.750 0.125 0.875
Ge: 0.000 0.500 0.000
Ge: 0.625 0.875 0.250
Ge: 0.500 0.500 0.500
Ge: 0.375 0.250 0.125
Ge: 0.875 0.250 0.625
Ge: 0.000 0.000 0.500
Ge: 0.500 0.000 0.500
Ge: 0.375 0.125 0.750
Ge: 0.875 0.625 0.750
Ge: 0.125 0.750 0.375
Ge: 0.750 0.625 0.375
In: 0.750 0.875 0.625
In: 0.625 0.250 0.375
In: 0.875 0.750 0.125
In: 0.250 0.125 0.375
In: 0.750 0.375 0.125
In: 0.125 0.250 0.875
In: 0.375 0.625 0.250
In: 0.875 0.125 0.250
In: 0.625 0.375 0.750
In: 0.125 0.875 0.750
In: 0.375 0.750 0.625
In: 0.250 0.625 0.875

Summary:
SG	Ia-3d
total energy	-3.226	eV/atom
energy of formation	155	meV per atom



# Be4Tc

A geometry-optimized Be4Tc structure (GGA-PBE, Alexandria).

a b c (Å): 4.139 4.139 4.139
angles (deg): 90.00 90.00 90.00
Element x y z (fractional)
Be: 0.500 0.000 0.500
Be: 0.500 0.500 0.000
Be: 0.000 0.500 0.500
Be: 0.000 0.000 0.000
Tc: 0.500 0.500 0.500

Summary:
distance to the lowest polymorph of the same formula	1325.8	meV/atom
SG	Pm-3m
total energy	-3.806	eV/atom
energy of formation	1249	meV per atom



# Tl2PAu2

A geometry-optimized Tl2PAu2 structure (GGA-PBE, Alexandria).

a b c (Å): 6.636 6.636 5.487
angles (deg): 90.00 90.00 90.00
Element x y z (fractional)
Tl: 0.176 0.676 0.500
Tl: 0.676 0.824 0.500
Tl: 0.824 0.324 0.500
Tl: 0.324 0.176 0.500
Au: 0.337 0.837 0.000
Au: 0.663 0.163 0.000
Au: 0.837 0.663 0.000
Au: 0.163 0.337 0.000
P: 0.000 0.000 0.000
P: 0.500 0.500 0.000

Summary:
distance to the lowest polymorph of the same formula	0.0	meV/atom
SG	P4/mbm
total energy	-3.222	eV/atom
energy of formation	117	meV per atom



# SrScTi2Os

A geometry-optimized SrScTi2Os structure (GGA-PBE, Alexandria).

a b c (Å): 4.898 4.898 5.183
angles (deg): 90.00 90.00 90.00
Each line ends with the local moment (μB).
Element x y z (fractional)
Sc: 0.000 0.000 0.500  0.06
Ti: 0.000 0.500 0.000  0.30
Ti: 0.500 0.000 0.000  0.30
Os: 0.000 0.000 0.000  -0.05
Sr: 0.500 0.500 0.500  0.01

Summary:
SG	P4/mmm
total energy	-6.821	eV/atom
energy of formation	186	meV per atom



# RbPmGeO3

A geometry-optimized RbPmGeO3 structure (GGA-PBE, Alexandria).

a b c (Å): 3.503 7.033 10.571
angles (deg): 103.78 90.00 90.00
Element x y z (fractional)
O: 0.250 0.652 0.360
O: 0.750 0.426 0.095
O: 0.750 0.348 0.640
O: 0.750 0.874 0.235
O: 0.250 0.574 0.905
O: 0.250 0.126 0.765
Pm: 0.750 0.349 0.868
Pm: 0.250 0.651 0.132
Ge: 0.750 0.811 0.401
Ge: 0.250 0.189 0.599
Rb: 0.250 0.233 0.271
Rb: 0.750 0.767 0.729

Summary:
SG	P2_1/m
E_form (uncorrected)	-2.12	eV per atom
total energy	-6.323	eV/atom



# YZnBi2F

A geometry-optimized YZnBi2F structure (GGA-PBE, Alexandria).

a b c (Å): 6.176 4.182 6.176
angles (deg): 90.00 90.00 90.00
Element x y z (fractional)
Bi: 0.000 0.000 0.500
Bi: 0.500 0.000 0.000
Zn: 0.500 0.500 0.500
Y: 0.000 0.000 0.000
F: 0.000 0.500 0.000

Summary:
SG	P4/mmm
E_form (uncorrected)	-0.77	eV per atom
total energy	-4.245	eV/atom



# ZrCr2SiSb

A geometry-optimized ZrCr2SiSb structure (GGA-PBE, Alexandria).

a b c (Å): 4.423 5.222 4.423
angles (deg): 90.00 90.00 90.00
Each line ends with the local moment (μB).
Element x y z (fractional)
Si: 0.000 0.000 0.000  -0.09
Cr: 0.000 0.000 0.500  2.68
Cr: 0.500 0.000 0.000  2.41
Sb: 0.000 0.500 0.000  -0.01
Zr: 0.500 0.500 0.500  -0.38

Summary:
SG	P4/mmm
E_form (uncorrected)	0.69	eV per atom
total energy	-6.782	eV/atom



# HfTi2Mo2

A geometry-optimized HfTi2Mo2 structure (GGA-PBE, Alexandria).

a b c (Å): 7.402 7.402 3.230
angles (deg): 90.00 90.00 90.00
Element x y z (fractional)
Hf: 0.000 0.000 0.000
Hf: 0.500 0.500 0.000
Ti: 0.355 0.145 0.500
Ti: 0.855 0.355 0.500
Ti: 0.645 0.855 0.500
Ti: 0.145 0.645 0.500
Mo: 0.847 0.653 0.000
Mo: 0.153 0.347 0.000
Mo: 0.653 0.153 0.000
Mo: 0.347 0.847 0.000

Summary:
distance to the lowest polymorph of the same formula	0.0	meV/atom
SG	P4/mbm
total energy	-9.334	eV/atom
energy of formation	147	meV per atom



# VRePd2

A geometry-optimized VRePd2 structure (GGA-PBE, Alexandria).

a b c (Å): 3.690 3.690 9.596
angles (deg): 78.91 78.91 90.00
Element x y z (fractional)
Re: 0.000 0.000 0.000
Re: 0.750 0.250 0.500
Pd: 0.375 0.376 0.750
Pd: 0.624 0.125 0.250
Pd: 0.126 0.625 0.250
Pd: 0.875 0.874 0.750
V: 0.500 0.500 0.000
V: 0.250 0.750 0.500

Summary:
distance to the lowest polymorph of the same formula	128.7	meV/atom
SG	I-42d
total energy	-7.587	eV/atom
energy of formation	402	meV per atom



# Ho3ErCo

A geometry-optimized Ho3ErCo structure (GGA-PBE, Alexandria).

a b c (Å): 7.076 7.076 7.085
angles (deg): 108.99 110.60 108.78
Each line ends with the local moment (μB).
Element x y z (fractional)
Ho: 0.706 0.452 0.159  0.07
Ho: 0.246 0.452 0.293  0.07
Ho: 0.158 0.953 0.707  0.07
Ho: 0.294 0.548 0.841  0.07
Ho: 0.754 0.548 0.707  0.07
Ho: 0.842 0.047 0.293  0.07
Co: 0.624 0.750 0.374  0.02
Co: 0.376 0.250 0.626  0.02
Er: 0.705 0.048 0.753  0.07
Er: 0.295 0.952 0.247  0.07

Summary:
distance to the lowest polymorph of the same formula	0.0	meV/atom
SG	C2/m
total energy	-5.196	eV/atom
energy of formation	-116	meV per atom



# TbCe2Ag

A geometry-optimized TbCe2Ag structure (GGA-PBE, Alexandria).

a b c (Å): 3.383 3.383 9.695
angles (deg): 90.00 90.00 90.00
Each line ends with the local moment (μB).
Element x y z (fractional)
Ag: 0.500 0.500 0.000  0.00
Ce: 0.000 0.000 0.774  0.67
Ce: 0.000 0.000 0.226  0.67
Tb: 0.500 0.500 0.500  0.04

Summary:
distance to the lowest polymorph of the same formula	0.0	meV/atom
SG	P4/mmm
total energy	-4.778	eV/atom
energy of formation	59	meV per atom



# SmCd2I8

A geometry-optimized SmCd2I8 structure (GGA-PBE, Alexandria).

a b c (Å): 6.959 8.956 8.956
angles (deg): 93.52 87.30 87.30
Element x y z (fractional)
I: 0.228 0.283 0.944
I: 0.254 0.470 0.470
I: 0.772 0.717 0.056
I: 0.746 0.530 0.530
I: 0.747 0.218 0.218
I: 0.772 0.056 0.717
I: 0.253 0.782 0.782
I: 0.228 0.944 0.283
Cd: 0.337 0.240 0.240
Cd: 0.663 0.760 0.760
Sm: 0.000 0.000 0.000

Summary:
SG	C2/m
E_form (uncorrected)	-0.77	eV per atom
total energy	-2.488	eV/atom



# PmTeP

A geometry-optimized PmTeP structure (GGA-PBE, Alexandria).

a b c (Å): 4.013 4.235 9.130
angles (deg): 93.68 90.00 90.00
Element x y z (fractional)
Pm: 0.250 0.281 0.756
Pm: 0.750 0.719 0.244
Te: 0.750 0.760 0.625
Te: 0.250 0.240 0.375
P: 0.750 0.154 0.012
P: 0.250 0.846 0.988

Summary:
distance to the lowest polymorph of the same formula	0.0	meV/atom
SG	P2_1/m
E_form (uncorrected)	-1.12	eV per atom
total energy	-5.553	eV/atom



# MnZnIrRh2

A geometry-optimized MnZnIrRh2 structure (GGA-PBE, Alexandria).

a b c (Å): 4.706 4.658 4.706
angles (deg): 90.00 90.00 90.00
Each line ends with the local moment (μB).
Element x y z (fractional)
Rh: 0.500 0.000 0.000  0.05
Rh: 0.000 0.000 0.500  0.06
Mn: 0.500 0.500 0.500  0.31
Ir: 0.000 0.000 0.000  0.02
Zn: 0.000 0.500 0.000  0.01

Summary:
SG	P4/mmm
total energy	-5.196	eV/atom
energy of formation	1606	meV per atom



# Cs2RuWCl6

A geometry-optimized Cs2RuWCl6 structure (GGA-PBE, Alexandria).

a b c (Å): 7.286 7.286 7.288
angles (deg): 60.01 60.01 90.00
Each line ends with the local moment (μB).
Element x y z (fractional)
Cl: 0.242 0.758 0.000  0.05
Cl: 0.758 0.758 0.000  0.05
Cl: 0.758 0.242 0.000  0.05
Cl: 0.242 0.242 0.517  0.05
Cl: 0.758 0.758 0.483  0.05
Cl: 0.242 0.242 0.000  0.05
Cs: 0.250 0.750 0.500  0.00
Cs: 0.750 0.250 0.500  0.00
W: 0.000 0.000 0.000  2.29
Ru: 0.500 0.500 0.000  2.52

Summary:
SG	Fm-3m
E_form (uncorrected)	-0.83	eV per atom
total energy	-4.328	eV/atom



# Sm3AlHg3

A geometry-optimized Sm3AlHg3 structure (GGA-PBE, Alexandria).

a b c (Å): 4.391 6.134 14.986
angles (deg): 84.83 81.58 69.03
Element x y z (fractional)
Sm: 0.744 0.744 0.769
Sm: 0.602 0.714 0.081
Sm: 0.256 0.256 0.231
Sm: 0.398 0.286 0.919
Sm: 0.477 0.661 0.386
Sm: 0.523 0.339 0.614
Al: 0.766 0.084 0.385
Al: 0.234 0.916 0.615
Hg: 0.144 0.250 0.461
Hg: 0.124 0.829 0.924
Hg: 0.876 0.171 0.076
Hg: 0.856 0.750 0.539
Hg: 0.979 0.807 0.236
Hg: 0.021 0.193 0.764

Summary:
SG	C2/m
total energy	-3.105	eV/atom
energy of formation	-419	meV per atom



# TbErAl

A geometry-optimized TbErAl structure (GGA-PBE, Alexandria).

a b c (Å): 3.434 3.434 7.124
angles (deg): 103.94 103.94 90.00
Element x y z (fractional)
Al: 0.618 0.618 0.236
Er: 0.265 0.265 0.530
Tb: 0.967 0.967 0.934

Summary:
distance to the lowest polymorph of the same formula	0.0	meV/atom
SG	I4mm
total energy	-4.566	eV/atom
energy of formation	-254	meV per atom